Density functional theory data (PBE) for a relaxed ReHgW2 crystal.

The structure belongs to space group Cmm2 (No. 35); the cell edges are 3.184, 4.570 and 9.399 Å and the angles 90.00°, 90.00° and 90.00°. The distinct sites, in fractional coordinates, are Re at (0.000, 0.000, 0.000), Hg at (0.000, 0.500, 0.271), W at (0.000, 0.000, 0.541) and W at (0.000, 0.500, 0.774).

The size of the total moment comes out at 0.00 μB/atom. The total energy is -9.1949 eV per atom.


Density functional theory data (PBE) for a relaxed Cd2Fe2N crystal.

The structure belongs to space group I4/mmm (No. 139); the cell edges are 3.093, 3.093 and 15.332 Å and the angles 90.00°, 90.00° and 90.00°. The distinct sites, in fractional coordinates, are Cd at (0.000, 0.000, 0.092), Fe at (0.000, 0.500, 0.250) and N at (0.000, 0.000, 0.500).

The size of the total moment comes out at 0.09 μB/atom. The total energy is -4.4083 eV per atom. The value obtained for the energy above the lowest structure with this stoichiometry is 3.66 eV per formula unit. As for the formation energy (no corrections): 1.0079 eV per atom.